Below is a geometry-optimized HfZrNb2H structure, with properties calculated at the PBE-GGA level.

a = 4.1140 Å, b = 4.1140 Å, c = 4.9386 Å
α = 90.00°, β = 90.00°, γ = 90.00°
Space group P4/mmm (No. 123)
One atom of each set of equivalent atoms:
Hf: 0.0000 0.0000 0.0000 [1 per cell]
Zr: 0.5000 0.5000 0.0000 [1 per cell]
Nb: 0.0000 0.5000 0.5000 [2 per cell]
H: 0.0000 0.0000 0.5000 [1 per cell]

Calculated values
The uncorrected energy comes out at -8.370 eV per atom.